No. 1
# Li3Th3Zn8 (PBE-GGA, relaxed)
# Calculated density   7539 kg/m³
# E_form   -0.22 eV per atom
# Spin magnetization   0.0 μB per formula unit
data_Li3Th3Zn8
_cell_length_a 4.580
_cell_length_b 8.579
_cell_length_c 13.905
_cell_angle_alpha 90.00
_cell_angle_beta 90.00
_cell_angle_gamma 90.00
_space_group_name_H-M_alt 'I m m m'
_space_group_IT_number 71
_space_group_name_Hall '-I 2 2'
loop_
_atom_site_label
_atom_site_type_symbol
_atom_site_fract_x
_atom_site_fract_y
_atom_site_fract_z
Li1 Li 0.000 0.000 0.000
Li2 Li 0.000 0.320 0.500
Th1 Th 0.000 0.500 0.000
Th2 Th 0.000 0.500 0.278
Zn1 Zn 0.000 0.147 0.349
Zn2 Zn 0.000 0.204 0.140

No. 2
# RbHfF2 (PBE-GGA, relaxed)
# Calculated density   5658 kg/m³
# Formation energy from raw total energies   -1.5498 eV/atom
# Spin magnetization   2.1 μB per formula unit
# Polymorph energy (0 for the lowest one)   656 meV per atom
data_RbHfF2
_cell_length_a 6.360
_cell_length_b 6.360
_cell_length_c 8.763
_cell_angle_alpha 90.00
_cell_angle_beta 90.00
_cell_angle_gamma 90.00
_space_group_name_H-M_alt 'I -4 2 d'
_space_group_IT_number 122
_space_group_name_Hall 'I -4 2bw'
loop_
_atom_site_label
_atom_site_type_symbol
_atom_site_fract_x
_atom_site_fract_y
_atom_site_fract_z
Rb1 Rb 0.000 0.000 0.000
Hf1 Hf 0.000 0.000 0.500
F1 F 0.179 0.250 0.625